No. 1
## Ca2Pr2MnNiO8 (GGA-PBEsol)

Data for crystalline Ca2Pr2MnNiO8 at its relaxed geometry. Values from VASP.

Geometry as Quantum ESPRESSO input:
```
&SYSTEM
  ibrav = 0, nat = 14, ntyp = 5
/
ATOMIC_SPECIES
O 16.00 O.upf
Pr 140.91 Pr.upf
Ca 40.08 Ca.upf
Ni 58.69 Ni.upf
Mn 54.94 Mn.upf
ATOMIC_POSITIONS crystal
O 0.1660 0.9699 0.3320
O 0.3272 0.4626 0.6543
O 0.2343 0.7543 0.9779
O 0.7612 0.2415 0.0217
O 0.6722 0.5436 0.3444
O 0.7436 0.7543 0.9779
O 0.2605 0.2415 0.0217
O 0.8359 0.0368 0.6719
Pr 0.3617 0.0138 0.7234
Pr 0.1375 0.5091 0.2751
Ca 0.6433 0.9819 0.2866
Ca 0.8567 0.4895 0.7134
Ni 0.5012 0.5009 0.0025
Mn 0.9986 0.0005 0.9971
CELL_PARAMETERS angstrom
5.2663 0.0000 0.0000
0.0000 5.3852 -0.0093
-2.6332 -0.0121 5.9862
```

Calculated values
- SG: Cm
- N(E_F): 0.003 states/eV/atom
- E_form (uncorrected): -2.57 eV per atom
- E_tot: -108.490 eV/cell

---

No. 2
## GaCuBi3 (GGA-PBEsol)

Data for crystalline GaCuBi3 at its relaxed geometry. Values from VASP.

Geometry as Quantum ESPRESSO input:
```
&SYSTEM
  ibrav = 0, nat = 5, ntyp = 3
/
ATOMIC_SPECIES
Bi 208.98 Bi.upf
Ga 69.72 Ga.upf
Cu 63.55 Cu.upf
ATOMIC_POSITIONS crystal
Bi 0.0000 0.5000 0.0000
Bi 0.5000 0.0000 0.0000
Bi 0.0000 0.0000 0.5000
Ga 0.0000 0.0000 0.0000
Cu 0.5000 0.5000 0.5000
CELL_PARAMETERS angstrom
5.3509 0.0000 0.0000
0.0000 5.3509 0.0000
0.0000 0.0000 5.3509
```

Calculated values
- SG: Pm-3m
- Formation enthalpy at 0 K: 438 kJ/mol of formula units
- N(E_F): 0.628 states/eV/atom
- E_tot: -15.992 eV/cell

---

No. 3
## TlInBr2 (GGA-PBEsol)

Data for crystalline TlInBr2 at its relaxed geometry. Values from VASP.

Geometry as Quantum ESPRESSO input:
```
&SYSTEM
  ibrav = 0, nat = 4, ntyp = 3
/
ATOMIC_SPECIES
In 114.82 In.upf
Br 79.90 Br.upf
Tl 204.38 Tl.upf
ATOMIC_POSITIONS crystal
In 0.0000 0.5000 0.5000
Br 0.7499 0.2501 0.2501
Br 0.2501 0.7499 0.7499
Tl 0.5000 0.0000 0.0000
CELL_PARAMETERS angstrom
-1.2361 2.6668 -4.6410
-4.4861 -1.3857 -2.8527
-4.3166 3.3951 -0.1506
```

Calculated values
- SG: Fm-3m
- E_form (uncorrected): -0.67 eV per atom
- E_tot: -12.014 eV/cell

---

No. 4
## Mn3Nb2Cr3O16 (GGA-PBEsol)

Data for crystalline Mn3Nb2Cr3O16 at its relaxed geometry. Values from VASP.

Geometry as Quantum ESPRESSO input:
```
&SYSTEM
  ibrav = 0, nat = 24, ntyp = 4
/
ATOMIC_SPECIES
O 16.00 O.upf
Cr 52.00 Cr.upf
Mn 54.94 Mn.upf
Nb 92.91 Nb.upf
ATOMIC_POSITIONS crystal
O 0.4745 0.5140 0.8317
O 0.6713 0.8355 0.1007
O 0.0036 0.0016 0.3067
O 0.5152 0.0382 0.3319
O 0.3287 0.1645 0.6016
O 0.1678 0.3328 0.1006
O 0.5151 0.4768 0.3318
O 0.9630 0.4813 0.3381
O 0.3250 0.6627 0.6086
O 0.0076 0.0040 0.8119
O 0.4744 0.9606 0.8318
O 0.8358 0.1661 0.6014
O 0.6622 0.3309 0.1073
O 0.8358 0.6701 0.6014
O 0.0366 0.5185 0.8294
O 0.1679 0.8347 0.1007
Cr 0.8342 0.1725 0.2163
Cr 0.8343 0.6613 0.2162
Cr 0.6642 0.8323 0.7149
Mn 0.1688 0.8321 0.7144
Mn 0.1687 0.3370 0.7144
Mn 0.3386 0.1691 0.2129
Nb 0.6677 0.3341 0.4948
Nb 0.3389 0.6692 0.9963
CELL_PARAMETERS angstrom
5.7559 -0.0134 0.0024
-2.8557 4.9857 0.0009
-0.0705 -0.0414 9.2021
```

Calculated values
- SG: Cm
- N(E_F): 0.368 states/eV/atom
- E_form (uncorrected): -1.93 eV per atom
- E_tot: -211.916 eV/cell

---

No. 5
## LaAsN2F (GGA-PBEsol)

Data for crystalline LaAsN2F at its relaxed geometry. Values from VASP.

Geometry as Quantum ESPRESSO input:
```
&SYSTEM
  ibrav = 0, nat = 5, ntyp = 4
/
ATOMIC_SPECIES
La 138.91 La.upf
As 74.92 As.upf
F 19.00 F.upf
N 14.01 N.upf
ATOMIC_POSITIONS crystal
La 0.0000 0.0000 0.0000
As 0.5000 0.5000 0.5000
F 0.5000 0.0000 0.0000
N 0.0000 0.0000 0.5000
N 0.0000 0.5000 0.0000
CELL_PARAMETERS angstrom
-1.5404 0.8358 -4.0292
-3.9991 -1.6130 1.1943
-1.2520 4.0859 1.3262
```

Calculated values
- SG: P4/mmm
- N(E_F): 0.665 states/eV/atom
- E_form (uncorrected): 0.22 eV per atom
- E_tot: -28.320 eV/cell

---

No. 6
## Ca2YAg (GGA-PBEsol)

Data for crystalline Ca2YAg at its relaxed geometry. Values from VASP.

Geometry as Quantum ESPRESSO input:
```
&SYSTEM
  ibrav = 0, nat = 4, ntyp = 3
/
ATOMIC_SPECIES
Ag 107.87 Ag.upf
Y 88.91 Y.upf
Ca 40.08 Ca.upf
ATOMIC_POSITIONS crystal
Ag 0.2500 0.7500 0.5000
Y 0.5000 0.5000 0.0000
Ca 0.7500 0.2500 0.5000
Ca 0.0000 0.0000 0.0000
CELL_PARAMETERS angstrom
-0.1977 -0.5441 -4.6912
4.6015 -1.0790 -0.0688
-3.3618 -4.1749 3.0072
```

Calculated values
- SG: I-4m2
- Formation enthalpy at 0 K: 43 kJ/mol of formula units
- N(E_F): 1.385 states/eV/atom
- E_tot: -13.951 eV/cell

---

- Look up the E_tot of the fourth one.
  -211.916 eV/cell

---

- E_tot of number 4 (Mn3Nb2Cr3O16)?
  -211.916 eV/cell